This record from Alexandria via LeMat-Bulk describes a relaxed structure of Cu3ReBr9. The functional is PBE-GGA.

Output
* crystal system: monoclinic
* ΔE_f (raw): -3.30 eV per formula unit
* total energy: -3.315 eV per atom

CIF file:
```
data_Cu3ReBr9
_chemical_formula_sum 'Cu12 Re4 Br36'
_cell_length_a 17.015
_cell_length_b 9.495
_cell_length_c 13.337
_cell_angle_alpha 90.00
_cell_angle_beta 129.04
_cell_angle_gamma 90.00
_space_group_name_H-M_alt 'C 1 c 1'
_space_group_IT_number 9
_space_group_name_Hall 'C -2yc'
loop_
_atom_site_label
_atom_site_type_symbol
_atom_site_fract_x
_atom_site_fract_y
_atom_site_fract_z
_atom_site_occupancy
Cu1 Cu 0.000 0.051 0.000 1
Cu2 Cu 0.114 0.344 0.871 1
Cu3 Cu 0.431 0.138 0.621 1
Re1 Re 0.289 0.176 0.796 1
Br1 Br 0.013 0.164 0.850 1
Br2 Br 0.095 0.420 0.317 1
Br3 Br 0.152 0.000 0.227 1
Br4 Br 0.172 0.358 0.649 1
Br5 Br 0.284 0.264 0.968 1
Br6 Br 0.292 0.073 0.624 1
Br7 Br 0.391 0.374 0.542 1
Br8 Br 0.418 0.012 0.448 1
Br9 Br 0.439 0.325 0.873 1
```

=====

This record from Alexandria via LeMat-Bulk describes a relaxed structure of Tb4DySe7. The functional is PBE-GGA.

Output
* crystal system: monoclinic
* ΔE_f (raw): -22.44 eV per formula unit
* total energy: -5.830 eV per atom

CIF file:
```
data_Tb4DySe7
_chemical_formula_sum 'Tb8 Dy2 Se14'
_cell_length_a 13.441
_cell_length_b 3.983
_cell_length_c 12.231
_cell_angle_alpha 90.00
_cell_angle_beta 104.47
_cell_angle_gamma 90.00
_space_group_name_H-M_alt 'C 1 m 1'
_space_group_IT_number 8
_space_group_name_Hall 'C -2y'
loop_
_atom_site_label
_atom_site_type_symbol
_atom_site_fract_x
_atom_site_fract_y
_atom_site_fract_z
_atom_site_occupancy
Tb1 Tb 0.000 0.000 0.000 1
Tb2 Tb 0.088 0.500 0.390 1
Tb3 Tb 0.187 0.000 0.766 1
Tb4 Tb 0.387 0.500 0.577 1
Dy1 Dy 0.274 0.500 0.156 1
Se1 Se 0.047 0.500 0.628 1
Se2 Se 0.129 0.500 0.930 1
Se3 Se 0.147 0.000 0.226 1
Se4 Se 0.227 0.000 0.527 1
Se5 Se 0.347 0.500 0.793 1
Se6 Se 0.387 0.000 0.078 1
Se7 Se 0.427 0.500 0.361 1
```

=====

This record from Alexandria via LeMat-Bulk describes a relaxed structure of KBe2. The functional is PBE-GGA.

Output
* crystal system: monoclinic
* polymorph energy (0 for the lowest one): 236.6 meV/atom
* formation enthalpy at 0 K: 668 meV/atom
* total energy: -2.182 eV per atom

CIF file:
```
data_KBe2
_chemical_formula_sum 'K4 Be8'
_cell_length_a 13.903
_cell_length_b 2.775
_cell_length_c 7.299
_cell_angle_alpha 90.00
_cell_angle_beta 116.97
_cell_angle_gamma 90.00
_space_group_name_H-M_alt 'C 1 2/m 1'
_space_group_IT_number 12
_space_group_name_Hall '-C 2y'
loop_
_atom_site_label
_atom_site_type_symbol
_atom_site_fract_x
_atom_site_fract_y
_atom_site_fract_z
_atom_site_occupancy
K1 K 0.166 0.000 0.168 1
Be1 Be 0.031 0.500 0.675 1
Be2 Be 0.086 0.000 0.524 1
```

=====

This record from Alexandria via LeMat-Bulk describes a relaxed structure of CsRbBa2Cu. The functional is PBE-GGA.

Output
* crystal system: tetragonal
* polymorph energy (0 for the lowest one): 6.9 meV/atom
* formation enthalpy at 0 K: 151 meV/atom
* total energy: -1.801 eV per atom

CIF file:
```
data_CsRbBa2Cu
_chemical_formula_sum 'Cs1 Rb1 Ba2 Cu1'
_cell_length_a 6.500
_cell_length_b 6.500
_cell_length_c 7.476
_cell_angle_alpha 90.00
_cell_angle_beta 90.00
_cell_angle_gamma 90.00
_space_group_name_H-M_alt 'P 4/m m m'
_space_group_IT_number 123
_space_group_name_Hall '-P 4 2'
loop_
_atom_site_label
_atom_site_type_symbol
_atom_site_fract_x
_atom_site_fract_y
_atom_site_fract_z
_atom_site_occupancy
Cs1 Cs 0.000 0.000 0.000 1
Rb1 Rb 0.500 0.500 0.000 1
Ba1 Ba 0.000 0.500 0.500 1
Cu1 Cu 0.500 0.500 0.500 1
```

=====

This record from Alexandria via LeMat-Bulk describes a relaxed structure of Zr4As. The functional is PBE-GGA.

Output
* crystal system: cubic
* polymorph energy (0 for the lowest one): 421.1 meV/atom
* formation enthalpy at 0 K: 113 meV/atom
* total energy: -7.656 eV per atom

CIF file:
```
data_Zr4As
_chemical_formula_sum 'Zr8 As2'
_cell_length_a 6.263
_cell_length_b 6.263
_cell_length_c 6.263
_cell_angle_alpha 90.00
_cell_angle_beta 90.00
_cell_angle_gamma 90.00
_space_group_name_H-M_alt 'I m -3 m'
_space_group_IT_number 229
_space_group_name_Hall '-I 4 2 3'
loop_
_atom_site_label
_atom_site_type_symbol
_atom_site_fract_x
_atom_site_fract_y
_atom_site_fract_z
_atom_site_occupancy
Zr1 Zr 0.250 0.250 0.250 1
As1 As 0.000 0.000 0.000 1
```

=====

This record from Alexandria via LeMat-Bulk describes a relaxed structure of LaBS3. The functional is PBE-GGA.

Output
* crystal system: cubic
* polymorph energy (0 for the lowest one): 650.3 meV/atom
* ΔE_f (raw): -3.18 eV per formula unit
* total energy: -5.433 eV per atom

CIF file:
```
data_LaBS3
_chemical_formula_sum 'La1 B1 S3'
_cell_length_a 4.419
_cell_length_b 4.419
_cell_length_c 4.419
_cell_angle_alpha 90.00
_cell_angle_beta 90.00
_cell_angle_gamma 90.00
_space_group_name_H-M_alt 'P m -3 m'
_space_group_IT_number 221
_space_group_name_Hall '-P 4 2 3'
loop_
_atom_site_label
_atom_site_type_symbol
_atom_site_fract_x
_atom_site_fract_y
_atom_site_fract_z
_atom_site_occupancy
La1 La 0.000 0.000 0.000 1
B1 B 0.500 0.500 0.500 1
S1 S 0.000 0.500 0.500 1
```

=====

This record from Alexandria via LeMat-Bulk describes a relaxed structure of CrGa2Ni2. The functional is PBE-GGA.

Output
* crystal system: tetragonal
* polymorph energy (0 for the lowest one): 460.5 meV/atom
* formation enthalpy at 0 K: 339 meV/atom
* total energy: -5.109 eV per atom

CIF file:
```
data_CrGa2Ni2
_chemical_formula_sum 'Cr2 Ga4 Ni4'
_cell_length_a 3.558
_cell_length_b 3.558
_cell_length_c 10.937
_cell_angle_alpha 90.00
_cell_angle_beta 90.00
_cell_angle_gamma 90.00
_space_group_name_H-M_alt 'I 4/m m m'
_space_group_IT_number 139
_space_group_name_Hall '-I 4 2'
loop_
_atom_site_label
_atom_site_type_symbol
_atom_site_fract_x
_atom_site_fract_y
_atom_site_fract_z
_atom_site_occupancy
Cr1 Cr 0.000 0.000 0.000 1
Ga1 Ga 0.000 0.500 0.250 1
Ni1 Ni 0.000 0.000 0.398 1
```

=====

This record from Alexandria via LeMat-Bulk describes a relaxed structure of Xe. The functional is PBE-GGA.

Output
* crystal system: orthorhombic
* polymorph energy (0 for the lowest one): 4.6 meV/atom
* formation enthalpy at 0 K: 5 meV/atom
* total energy: -0.029 eV per atom

CIF file:
```
data_Xe
_chemical_formula_sum 'Xe8'
_cell_length_a 8.371
_cell_length_b 16.382
_cell_length_c 4.937
_cell_angle_alpha 90.00
_cell_angle_beta 90.00
_cell_angle_gamma 90.00
_space_group_name_H-M_alt 'C m c e'
_space_group_IT_number 64
_space_group_name_Hall '-C 2ac 2'
loop_
_atom_site_label
_atom_site_type_symbol
_atom_site_fract_x
_atom_site_fract_y
_atom_site_fract_z
_atom_site_occupancy
Xe1 Xe 0.000 0.133 0.002 1
```